Record 1
# LuScZnIn PBE optimized geometry
# Calculated formation energy in eV/atom: -0.37
# Calculated volume in Å³/cell: 352.79
data_LuScZnIn
_chemical_formula_sum 'Lu4 Sc4 Zn4 In4'
_cell_length_a 7.066
_cell_length_b 7.066
_cell_length_c 7.066
_cell_angle_alpha 90.00
_cell_angle_beta 90.00
_cell_angle_gamma 90.00
_symmetry_space_group_name_H-M 'P 1'
_symmetry_Int_Tables_number 1
loop_
_symmetry_equiv_pos_as_xyz
'x,y,z'
loop_
_atom_site_label
_atom_site_type_symbol
_atom_site_fract_x
_atom_site_fract_y
_atom_site_fract_z
Lu1 Lu 0.000 0.000 0.000
Lu2 Lu 0.000 0.500 0.500
Lu3 Lu 0.500 0.000 0.500
Lu4 Lu 0.500 0.500 0.000
Sc1 Sc 0.000 0.000 0.500
Sc2 Sc 0.000 0.500 0.000
Sc3 Sc 0.500 0.000 0.000
Sc4 Sc 0.500 0.500 0.500
Zn1 Zn 0.250 0.250 0.750
Zn2 Zn 0.250 0.750 0.250
Zn3 Zn 0.750 0.250 0.250
Zn4 Zn 0.750 0.750 0.750
In1 In 0.250 0.250 0.250
In2 In 0.250 0.750 0.750
In3 In 0.750 0.250 0.750
In4 In 0.750 0.750 0.250

---

Record 2
# LuZrScIn PBE optimized geometry
# Calculated formation energy in eV/atom: -0.09
# Calculated volume in Å³/cell: 387.88
data_LuZrScIn
_chemical_formula_sum 'Lu4 Zr4 Sc4 In4'
_cell_length_a 7.293
_cell_length_b 7.293
_cell_length_c 7.293
_cell_angle_alpha 90.00
_cell_angle_beta 90.00
_cell_angle_gamma 90.00
_symmetry_space_group_name_H-M 'P 1'
_symmetry_Int_Tables_number 1
loop_
_symmetry_equiv_pos_as_xyz
'x,y,z'
loop_
_atom_site_label
_atom_site_type_symbol
_atom_site_fract_x
_atom_site_fract_y
_atom_site_fract_z
Lu1 Lu 0.000 0.000 0.000
Lu2 Lu 0.000 0.500 0.500
Lu3 Lu 0.500 0.000 0.500
Lu4 Lu 0.500 0.500 0.000
Zr1 Zr 0.250 0.250 0.750
Zr2 Zr 0.250 0.750 0.250
Zr3 Zr 0.750 0.250 0.250
Zr4 Zr 0.750 0.750 0.750
Sc1 Sc 0.000 0.000 0.500
Sc2 Sc 0.000 0.500 0.000
Sc3 Sc 0.500 0.000 0.000
Sc4 Sc 0.500 0.500 0.500
In1 In 0.250 0.250 0.250
In2 In 0.250 0.750 0.750
In3 In 0.750 0.250 0.750
In4 In 0.750 0.750 0.250

---

Record 3
# Lu2InSe PBE optimized geometry
# Formation energy without anion corrections in eV per atom: -0.830
# Calculated volume in Å³/cell: 93.98
data_Lu2InSe
_chemical_formula_sum 'Lu2 In1 Se1'
_cell_length_a 3.448
_cell_length_b 3.448
_cell_length_c 7.903
_cell_angle_alpha 90.00
_cell_angle_beta 90.00
_cell_angle_gamma 90.00
_symmetry_space_group_name_H-M 'P 1'
_symmetry_Int_Tables_number 1
loop_
_symmetry_equiv_pos_as_xyz
'x,y,z'
loop_
_atom_site_label
_atom_site_type_symbol
_atom_site_fract_x
_atom_site_fract_y
_atom_site_fract_z
Lu1 Lu 0.000 0.000 0.226
Lu2 Lu 0.000 0.000 0.774
In1 In 0.500 0.500 0.500
Se1 Se 0.500 0.500 0.000

---

Record 4
# SmLuIn PBE optimized geometry
# Calculated formation energy in eV/atom: -0.23
# Calculated volume in Å³/cell: 87.09
data_SmLuIn
_chemical_formula_sum 'Sm1 Lu1 In1'
_cell_length_a 5.220
_cell_length_b 5.220
_cell_length_c 3.691
_cell_angle_alpha 90.00
_cell_angle_beta 90.00
_cell_angle_gamma 120.00
_symmetry_space_group_name_H-M 'P 1'
_symmetry_Int_Tables_number 1
loop_
_symmetry_equiv_pos_as_xyz
'x,y,z'
loop_
_atom_site_label
_atom_site_type_symbol
_atom_site_fract_x
_atom_site_fract_y
_atom_site_fract_z
Sm1 Sm 0.000 0.000 0.000
Lu1 Lu 0.667 0.333 0.542
In1 In 0.333 0.667 0.395

---

Record 5
# SmLuIn PBE optimized geometry
# Calculated formation energy in eV/atom: -0.30
# Calculated volume in Å³/cell: 172.31
data_SmLuIn
_chemical_formula_sum 'Sm2 Lu2 In2'
_cell_length_a 3.551
_cell_length_b 3.551
_cell_length_c 13.661
_cell_angle_alpha 90.00
_cell_angle_beta 90.00
_cell_angle_gamma 90.00
_symmetry_space_group_name_H-M 'P 1'
_symmetry_Int_Tables_number 1
loop_
_symmetry_equiv_pos_as_xyz
'x,y,z'
loop_
_atom_site_label
_atom_site_type_symbol
_atom_site_fract_x
_atom_site_fract_y
_atom_site_fract_z
Sm1 Sm 0.000 0.000 0.000
Sm2 Sm 0.500 0.500 0.500
Lu1 Lu 0.000 0.000 0.688
Lu2 Lu 0.500 0.500 0.188
In1 In 0.000 0.000 0.338
In2 In 0.500 0.500 0.838

---

Record 6
# SmLuIn4 PBE optimized geometry
# Calculated formation energy in eV/atom: -0.30
# Calculated volume in Å³/cell: 152.96
data_SmLuIn4
_chemical_formula_sum 'Sm1 Lu1 In4'
_cell_length_a 6.003
_cell_length_b 6.003
_cell_length_c 6.003
_cell_angle_alpha 60.00
_cell_angle_beta 60.00
_cell_angle_gamma 60.00
_symmetry_space_group_name_H-M 'P 1'
_symmetry_Int_Tables_number 1
loop_
_symmetry_equiv_pos_as_xyz
'x,y,z'
loop_
_atom_site_label
_atom_site_type_symbol
_atom_site_fract_x
_atom_site_fract_y
_atom_site_fract_z
Sm1 Sm 0.000 0.000 0.000
Lu1 Lu 0.750 0.750 0.750
In1 In 0.375 0.375 0.375
In2 In 0.375 0.375 0.875
In3 In 0.375 0.875 0.375
In4 In 0.875 0.375 0.375

---

Please write out number 4 again, unchanged.
# SmLuIn PBE optimized geometry
# Calculated formation energy in eV/atom: -0.23
# Calculated volume in Å³/cell: 87.09
data_SmLuIn
_chemical_formula_sum 'Sm1 Lu1 In1'
_cell_length_a 5.220
_cell_length_b 5.220
_cell_length_c 3.691
_cell_angle_alpha 90.00
_cell_angle_beta 90.00
_cell_angle_gamma 120.00
_symmetry_space_group_name_H-M 'P 1'
_symmetry_Int_Tables_number 1
loop_
_symmetry_equiv_pos_as_xyz
'x,y,z'
loop_
_atom_site_label
_atom_site_type_symbol
_atom_site_fract_x
_atom_site_fract_y
_atom_site_fract_z
Sm1 Sm 0.000 0.000 0.000
Lu1 Lu 0.667 0.333 0.542
In1 In 0.333 0.667 0.395